# 1
Entry from Alexandria: a geometry-optimized MnP2SeBr structure (PBEsol).

Unit cell a=4.236 b=4.236 c=5.115 alpha=90.00 beta=90.00 gamma=90.00
Space group P4/mmm (No. 123)
Symmetry-distinct sites (fractional):
Mn: 0.000 0.000 0.000 (multiplicity 1)
P: 0.000 0.500 0.000 (multiplicity 2)
Se: 0.500 0.500 0.500 (multiplicity 1)
Br: 0.000 0.000 0.500 (multiplicity 1)

***

# 2
Entry from Alexandria: a geometry-optimized ZrMnPBr2 structure (PBEsol).

Unit cell a=4.493 b=4.493 c=5.339 alpha=90.00 beta=90.00 gamma=90.00
Space group P4/mmm (No. 123)
Symmetry-distinct sites (fractional):
Zr: 0.000 0.000 0.000 (multiplicity 1)
Mn: 0.000 0.000 0.500 (multiplicity 1)
P: 0.500 0.500 0.000 (multiplicity 1)
Br: 0.000 0.500 0.500 (multiplicity 2)

***

# 3
Entry from Alexandria: a geometry-optimized Mn2PbBr structure (PBEsol).

Unit cell a=3.254 b=5.645 c=8.727 alpha=90.00 beta=90.00 gamma=90.00
Space group Immm (No. 71)
Symmetry-distinct sites (fractional):
Mn: 0.000 0.000 0.235 (multiplicity 4)
Pb: 0.000 0.500 0.000 (multiplicity 2)
Br: 0.000 0.500 0.500 (multiplicity 2)

***

# 4
Entry from Alexandria: a geometry-optimized MnRe2PbBr structure (PBEsol).

Unit cell a=4.526 b=4.526 c=4.700 alpha=90.00 beta=90.00 gamma=90.00
Space group P4/mmm (No. 123)
Symmetry-distinct sites (fractional):
Mn: 0.000 0.000 0.000 (multiplicity 1)
Re: 0.000 0.500 0.000 (multiplicity 2)
Pb: 0.500 0.500 0.500 (multiplicity 1)
Br: 0.000 0.000 0.500 (multiplicity 1)

***

# 5
Entry from Alexandria: a geometry-optimized MnPdBr2 structure (PBEsol).

Unit cell a=3.7846 b=3.7846 c=23.2829 alpha=90.00 beta=90.00 gamma=120.00
Space group R-3m (No. 166, hexagonal axes)
Symmetry-distinct sites (fractional):
Mn: 0.0000 0.0000 0.0000 (multiplicity 3)
Pd: 0.0000 0.0000 0.5000 (multiplicity 3)
Br: 0.0000 0.0000 0.1004 (multiplicity 6)

***

# 6
Entry from Alexandria: a geometry-optimized ZrMn2PdBr structure (PBEsol).

Unit cell a=4.386 b=4.386 c=4.895 alpha=90.00 beta=90.00 gamma=90.00
Space group P4/mmm (No. 123)
Symmetry-distinct sites (fractional):
Zr: 0.000 0.000 0.000 (multiplicity 1)
Mn: 0.000 0.500 0.500 (multiplicity 2)
Pd: 0.500 0.500 0.000 (multiplicity 1)
Br: 0.000 0.000 0.500 (multiplicity 1)

***

| no. | raw formation energy (eV per formula unit) |
| --- | --- |
| 1 | 2.15 |
| 2 | 2.12 |
| 3 | 2.34 |
| 4 | 7.96 |
| 5 | 1.06 |
| 6 | 3.97 |